Entry 1:
Compound: Rb2Li2SbS4
Source: the Alexandria database
Functional: PBE
Structure: optimized geometry

Geometry as extended XYZ:
```
9
Lattice="7.414 -2.031 0.000 7.414 2.031 0.000 -2.649 0.000 7.266" Properties=species:S:1:pos:R:3 pbc="T T T"
Rb 1.916 0.000 0.401
Rb 10.264 0.000 6.865
Li 3.370 0.000 3.692
Li 8.809 0.000 3.574
Sb -1.325 0.000 3.633
S 1.082 0.000 4.804
S 5.241 0.000 5.242
S 6.939 0.000 2.024
S 11.097 0.000 2.462
```

Output
The energy relative to the elements, uncorrected comes out at -88.31 kJ/mol of atoms.



Entry 2:
Compound: CaLa3Pd
Source: the Alexandria database
Functional: PBE
Structure: optimized geometry

Geometry as extended XYZ:
```
5
Lattice="5.808 0.000 0.000 0.000 5.808 0.000 0.000 0.000 5.808" Properties=species:S:1:pos:R:3 pbc="T T T"
Ca 0.000 0.000 0.000
La 0.000 2.904 2.904
La 2.904 0.000 2.904
La 2.904 2.904 0.000
Pd 2.904 2.904 2.904
```

Output
The formation enthalpy at 0 K comes out at -0.1597 eV per atom. The value obtained for the energy above the most stable polymorph in this dataset is 51.3 meV per atom.



Entry 3:
Compound: Pa2TiGa3
Source: the Alexandria database
Functional: PBE
Structure: optimized geometry

Geometry as extended XYZ:
```
12
Lattice="5.739 0.000 0.000 -2.870 4.970 0.000 0.000 0.000 8.329" Properties=species:S:1:pos:R:3 pbc="T T T"
Pa 0.000 3.314 0.705
Pa 0.000 3.314 3.460
Pa 2.870 1.657 4.869
Pa 2.870 1.657 7.624
Ti 0.000 0.000 0.000
Ti 0.000 0.000 4.164
Ga 0.000 1.746 6.247
Ga -1.358 4.098 6.247
Ga 1.512 0.873 2.082
Ga 1.358 4.098 6.247
Ga 4.228 0.873 2.082
Ga 2.870 3.225 2.082
```

Output
The formation enthalpy at 0 K comes out at -0.3380 eV per atom. The value obtained for the energy above the most stable polymorph in this dataset is 15.4 meV per atom.



Entry 4:
Compound: Ba2ScHgGe
Source: the Alexandria database
Functional: PBE
Structure: optimized geometry

Geometry as extended XYZ:
```
5
Lattice="6.462 0.000 0.000 0.000 6.462 0.000 0.000 0.000 5.184" Properties=species:S:1:pos:R:3 pbc="T T T"
Ba 0.000 3.231 0.000
Ba 3.231 0.000 0.000
Sc 0.000 0.000 2.592
Hg 3.231 3.231 2.592
Ge 0.000 0.000 0.000
```

Output
The formation enthalpy at 0 K comes out at -0.1444 eV per atom.



Entry 5:
Compound: Zn4RhBr
Source: the Alexandria database
Functional: PBE
Structure: optimized geometry

Geometry as extended XYZ:
```
6
Lattice="0.000 3.673 3.673 3.673 0.000 3.673 3.673 3.673 0.000" Properties=species:S:1:pos:R:3 pbc="T T T"
Zn 0.910 0.910 0.910
Zn 2.763 2.763 0.910
Zn 2.763 0.910 2.763
Zn 0.910 2.763 2.763
Rh 5.509 5.509 5.509
Br 3.673 3.673 3.673
```

Output
The energy relative to the elements, uncorrected comes out at 23.67 kJ/mol of atoms.



Entry 6:
Compound: YZn2Au
Source: the Alexandria database
Functional: PBE
Structure: optimized geometry

Geometry as extended XYZ:
```
4
Lattice="4.235 0.000 0.000 0.000 4.235 0.000 0.000 0.000 4.460" Properties=species:S:1:pos:R:3 pbc="T T T"
Y 0.000 0.000 0.000
Zn 0.000 2.118 2.230
Zn 2.118 0.000 2.230
Au 2.118 2.118 0.000
```

Output
The formation enthalpy at 0 K comes out at -0.3852 eV per atom.



Entry 7:
Compound: Li3PdRh3O8
Source: the Alexandria database
Functional: PBE
Structure: optimized geometry

Geometry as extended XYZ:
```
15
Lattice="3.085 1.781 4.805 -3.085 1.781 4.805 0.000 -3.563 4.805" Properties=species:S:1:pos:R:3 pbc="T T T"
Li -1.543 -0.891 4.805
Li -1.543 0.891 9.609
Li 0.000 1.781 4.805
Pd 0.000 0.000 7.207
Rh -3.085 0.000 7.207
Rh -1.543 0.891 2.402
Rh 1.543 0.891 2.402
O 0.000 0.000 3.492
O -1.520 -0.877 8.265
O 0.000 -1.755 6.149
O -1.520 0.877 6.149
O 1.520 -0.877 8.265
O 0.000 1.755 8.265
O 1.520 0.877 6.149
O 0.000 0.000 10.922
```

Output
The energy relative to the elements, uncorrected comes out at -101.18 kJ/mol of atoms.



Entry 8:
Compound: Ce2ErTmN4
Source: the Alexandria database
Functional: PBE
Structure: optimized geometry

Geometry as extended XYZ:
```
8
Lattice="6.041 0.000 0.000 0.000 3.488 0.000 -2.014 0.000 5.718" Properties=species:S:1:pos:R:3 pbc="T T T"
Ce 0.000 0.000 0.000
Ce 3.021 1.744 0.000
Er -1.007 1.744 2.859
Tm 2.014 0.000 2.859
N 0.006 0.000 4.249
N 1.013 1.744 1.472
N 3.014 1.744 4.245
N 4.021 0.000 1.468
```

Output
The energy relative to the elements, uncorrected comes out at -157.16 kJ/mol of atoms.



Entry 9:
Compound: LiAuCl3
Source: the Alexandria database
Functional: PBE
Structure: optimized geometry

Geometry as extended XYZ:
```
20
Lattice="7.246 0.000 0.000 0.000 6.461 0.000 -4.840 0.000 10.910" Properties=species:S:1:pos:R:3 pbc="T T T"
Li -0.348 0.963 2.498
Li -2.768 2.267 7.953
Li 5.174 4.194 2.957
Li 2.754 5.498 8.412
Au 2.946 1.025 0.604
Au 0.526 2.206 6.059
Au 1.880 4.255 4.851
Au -0.540 5.436 10.306
Cl -3.643 0.914 9.989
Cl -1.223 2.316 4.534
Cl -2.417 4.437 9.277
Cl 0.003 5.254 3.822
Cl -0.922 0.820 7.466
Cl 1.498 2.410 2.011
Cl 0.908 4.050 8.899
Cl 3.328 5.641 3.444
Cl 2.403 1.207 7.088
Cl 4.823 2.023 1.633
Cl 3.629 4.145 6.376
Cl 6.049 5.546 0.921
```

Output
The energy relative to the elements, uncorrected comes out at -73.59 kJ/mol of atoms. The value obtained for the energy above the most stable polymorph in this dataset is 0.0 meV per atom.



Entry 10:
Compound: Al2CCl
Source: the Alexandria database
Functional: PBE
Structure: optimized geometry

Geometry as extended XYZ:
```
16
Lattice="5.250 0.000 0.000 0.000 5.250 0.000 0.000 0.000 9.964" Properties=species:S:1:pos:R:3 pbc="T T T"
Al 0.690 1.313 1.245
Al 1.313 3.315 3.736
Al 1.313 4.561 8.718
Al 1.936 1.313 6.227
Al 3.315 3.938 6.227
Al 3.938 0.690 8.718
Al 3.938 1.936 3.736
Al 4.561 3.938 1.245
C 0.000 0.000 0.000
C 0.000 2.625 2.491
C 2.625 0.000 7.473
C 2.625 2.625 4.982
Cl 0.000 0.000 4.982
Cl 0.000 2.625 7.473
Cl 2.625 0.000 2.491
Cl 2.625 2.625 0.000
```

Output
The energy relative to the elements, uncorrected comes out at -4.60 kJ/mol of atoms.



Entry 11:
Compound: Ba2Li6ZnHg
Source: the Alexandria database
Functional: PBE
Structure: optimized geometry

Geometry as extended XYZ:
```
20
Lattice="7.756 0.000 0.000 0.000 10.049 0.000 0.000 0.000 7.238" Properties=species:S:1:pos:R:3 pbc="T T T"
Ba 1.939 0.211 1.645
Ba 1.939 4.814 1.645
Ba 5.817 5.235 5.593
Ba 5.817 9.838 5.593
Li 0.306 2.512 6.374
Li 0.474 7.537 4.031
Li 1.939 0.008 5.237
Li 1.939 5.017 5.237
Li 3.404 7.537 4.031
Li 3.572 2.512 6.374
Li 4.184 7.537 0.864
Li 4.352 2.512 3.208
Li 5.817 5.032 2.001
Li 5.817 10.041 2.001
Li 7.282 2.512 3.208
Li 7.450 7.537 0.864
Zn 1.939 2.512 4.283
Zn 5.817 7.537 2.955
Hg 1.939 7.537 6.438
Hg 5.817 2.512 0.800
```

Output
The formation enthalpy at 0 K comes out at -0.0936 eV per atom.



Entry 12:
Compound: LaHo2Te4
Source: the Alexandria database
Functional: PBE
Structure: optimized geometry

Geometry as extended XYZ:
```
28
Lattice="13.547 0.000 0.000 0.000 4.319 0.000 0.000 0.000 15.809" Properties=species:S:1:pos:R:3 pbc="T T T"
La 3.319 1.080 2.760
La 3.455 3.239 10.664
La 10.092 1.080 5.144
La 10.229 3.239 13.048
Ho 0.733 1.080 6.125
Ho 1.265 1.080 14.407
Ho 5.509 3.239 6.503
Ho 6.040 3.239 14.030
Ho 7.507 1.080 1.779
Ho 8.038 1.080 9.306
Ho 12.282 3.239 1.401
Ho 12.814 3.239 9.683
Te 0.533 3.239 12.420
Te 1.382 1.080 9.106
Te 1.747 3.239 0.718
Te 2.707 3.239 5.186
Te 4.067 1.080 13.090
Te 5.026 1.080 8.622
Te 5.391 3.239 1.202
Te 6.241 1.080 4.516
Te 7.306 3.239 11.293
Te 8.156 1.080 14.607
Te 8.521 3.239 7.187
Te 9.480 3.239 2.718
Te 10.840 1.080 10.623
Te 11.800 1.080 15.091
Te 12.165 3.239 6.702
Te 13.014 1.080 3.389
```

Output
The energy relative to the elements, uncorrected comes out at -139.12 kJ/mol of atoms.



Copy entry 9 word for word.
Compound: LiAuCl3
Source: the Alexandria database
Functional: PBE
Structure: optimized geometry

Geometry as extended XYZ:
```
20
Lattice="7.246 0.000 0.000 0.000 6.461 0.000 -4.840 0.000 10.910" Properties=species:S:1:pos:R:3 pbc="T T T"
Li -0.348 0.963 2.498
Li -2.768 2.267 7.953
Li 5.174 4.194 2.957
Li 2.754 5.498 8.412
Au 2.946 1.025 0.604
Au 0.526 2.206 6.059
Au 1.880 4.255 4.851
Au -0.540 5.436 10.306
Cl -3.643 0.914 9.989
Cl -1.223 2.316 4.534
Cl -2.417 4.437 9.277
Cl 0.003 5.254 3.822
Cl -0.922 0.820 7.466
Cl 1.498 2.410 2.011
Cl 0.908 4.050 8.899
Cl 3.328 5.641 3.444
Cl 2.403 1.207 7.088
Cl 4.823 2.023 1.633
Cl 3.629 4.145 6.376
Cl 6.049 5.546 0.921
```

Output
The energy relative to the elements, uncorrected comes out at -73.59 kJ/mol of atoms. The value obtained for the energy above the most stable polymorph in this dataset is 0.0 meV per atom.